The following is a PBE calculation of an optimized crystal structure of Ta2HgHPd, from the Alexandria database.

POSCAR file:
```
Ta2HgHPd
1.0
5.0784 0.0000 0.0000
0.0000 4.9825 0.0000
0.0000 0.0000 5.0784
H Hg Pd Ta
1 1 1 2
Cartesian
2.5392 2.4912 2.5392
0.0000 0.0000 0.0000
0.0000 2.4912 0.0000
0.0000 0.0000 2.5392
2.5392 0.0000 0.0000
```

Computed properties:
For the final energy, the calculation gives -4.0193 eV per atom.



The following is a PBE calculation of an optimized crystal structure of TcHgHPd2, from the Alexandria database.

POSCAR file:
```
TcHgHPd2
1.0
4.1325 0.0000 0.0000
0.0000 4.1325 0.0000
0.0000 0.0000 4.0600
H Hg Pd Tc
1 1 2 1
Cartesian
0.0000 0.0000 0.0000
2.0663 2.0663 2.0300
0.0000 2.0663 0.0000
2.0663 0.0000 0.0000
0.0000 0.0000 2.0300
```

Computed properties:
For the final energy, the calculation gives -4.6429 eV per atom.



The following is a PBE calculation of an optimized crystal structure of HgTe2H2Pd7, from the Alexandria database.

POSCAR file:
```
HgTe2H2Pd7
1.0
4.1176 0.0099 0.1530
0.0150 4.1176 0.1530
2.4409 2.4379 10.9732
Hg Te H Pd
1 2 2 7
Cartesian
0.0000 0.0000 0.0000
4.0499 4.0450 4.3507
2.5236 2.5205 6.9285
4.4493 4.4439 9.2586
2.1242 2.1216 2.0206
2.0663 2.0638 0.1530
1.8865 1.8842 4.3451
4.6870 4.6813 6.9342
4.0279 1.9864 2.3207
1.9913 4.0254 2.3207
4.5822 2.5401 8.9586
2.5456 4.5791 8.9586
```

Computed properties:
For the final energy, the calculation gives -4.3483 eV per atom.



The following is a PBE calculation of an optimized crystal structure of TiHgHPd2, from the Alexandria database.

POSCAR file:
```
TiHgHPd2
1.0
-2.2753 3.3686 -0.3268
-3.3816 -2.2470 0.3828
0.1408 0.5010 4.1841
H Hg Pd Ti
1 1 2 1
Cartesian
0.0000 0.0000 0.0000
-2.7581 0.8112 2.1201
-1.6908 -1.1235 0.1914
-1.1377 1.6843 -0.1634
0.0704 0.2505 2.0921
```

Computed properties:
For the final energy, the calculation gives -4.5777 eV per atom.



The following is a PBE calculation of an optimized crystal structure of TlHgHPd2, from the Alexandria database.

POSCAR file:
```
TlHgHPd2
1.0
-2.7297 0.3657 3.2138
3.1328 -0.7477 2.7460
0.8388 4.3241 0.2204
H Tl Hg Pd
1 1 1 2
Cartesian
0.0000 0.0000 0.0000
0.6209 1.9710 3.0901
0.4194 2.1620 0.1102
1.5664 -0.3738 1.3730
-1.3649 0.1828 1.6069
```

Computed properties:
The value obtained for the distance to the lowest polymorph of the same formula is 0.000 eV per atom.



The following is a PBE calculation of an optimized crystal structure of Tl2HgHPd6, from the Alexandria database.

POSCAR file:
```
Tl2HgHPd6
1.0
-4.3407 -3.2929 4.3289
-1.9159 -3.1743 -4.2763
7.1704 0.9254 -0.1008
Tl Hg H Pd
2 1 1 6
Cartesian
-0.2235 -3.0686 2.3694
1.1338 -2.4753 -2.4218
4.0403 -2.3093 -0.0766
2.8276 -2.3689 4.2262
1.6042 -3.6534 0.1345
-0.9704 -4.8570 0.2900
-0.6940 -1.8906 -0.1869
2.5498 -2.0770 2.2612
1.8806 -0.6868 -0.3424
-1.6397 -3.4669 -2.3136
```

Computed properties:
For the final energy, the calculation gives -4.0613 eV per atom.



The following is a PBE calculation of an optimized crystal structure of TlHgHPd2, from the Alexandria database.

POSCAR file:
```
TlHgHPd2
1.0
-3.3036 -2.4804 0.1489
2.4605 -3.2306 0.7727
-0.3992 0.8118 4.6652
H Tl Hg Pd
1 1 1 2
Cartesian
0.0000 0.0000 0.0000
-0.1996 0.4059 2.3326
-0.6212 -2.4496 2.7934
1.2302 -1.6153 0.3864
-1.6518 -1.2402 0.0745
```

Computed properties:
The value obtained for the distance to the lowest polymorph of the same formula is 0.004 eV per atom.



The following is a PBE calculation of an optimized crystal structure of TlHg2HPd, from the Alexandria database.

POSCAR file:
```
TlHg2HPd
1.0
-5.0003 1.5790 -1.2848
-0.2431 -3.8461 -3.7809
-1.2741 -2.1711 2.2904
H Tl Hg Pd
1 1 2 1
Cartesian
0.0000 0.0000 0.0000
-3.2587 -2.2191 -1.3876
-0.1215 -1.9230 -1.8904
-2.5001 0.7895 -0.6424
-0.6370 -1.0855 1.1452
```

Computed properties:
The value obtained for the distance to the lowest polymorph of the same formula is 0.089 eV per atom.



The following is a PBE calculation of an optimized crystal structure of Tl3HgH2Pd9, from the Alexandria database.

POSCAR file:
```
Tl3HgH2Pd9
1.0
-3.0745 4.1179 -2.5664
-2.5600 -3.6779 3.5939
1.7186 5.6489 7.0051
Tl Hg H Pd
3 1 2 9
Cartesian
-1.5038 2.9560 6.5445
0.0000 0.0000 0.0000
-2.4120 3.1330 1.4881
0.8593 2.8245 3.5025
-2.4975 -0.3104 2.4940
-1.4183 6.3994 5.5386
-1.7095 7.0187 3.6765
-2.9857 5.1852 5.4681
-0.1768 4.9658 4.9559
-3.7390 1.1232 3.0767
-0.9302 0.9038 2.5645
-2.2063 -0.9297 4.3561
-1.5372 2.0590 -1.2832
-1.2800 -1.8389 1.7970
-2.8172 0.2200 0.5137
```

Computed properties:
For the final energy, the calculation gives -4.2063 eV per atom.



The following is a PBE calculation of an optimized crystal structure of TlHg2HPd, from the Alexandria database.

POSCAR file:
```
TlHg2HPd
1.0
-1.6090 -5.2597 -0.7426
1.6258 0.2510 -5.3008
3.1623 -1.0970 0.9180
H Tl Hg Pd
1 1 2 1
Cartesian
1.5812 -0.5485 0.4590
1.5896 -3.0528 -2.5627
0.8129 0.1255 -2.6504
-0.8045 -2.6298 -0.3713
0.0000 0.0000 0.0000
```

Computed properties:
The value obtained for the distance to the lowest polymorph of the same formula is 0.000 eV per atom.



The following is a PBE calculation of an optimized crystal structure of VHgHPd2, from the Alexandria database.

POSCAR file:
```
VHgHPd2
1.0
-2.5347 -1.3927 2.8897
-1.1344 -3.0558 -2.4678
3.0320 -2.3563 1.5239
H Hg Pd V
1 1 2 1
Cartesian
0.0000 0.0000 0.0000
-0.3186 -3.4024 0.9729
-0.5672 -1.5279 -1.2339
-1.2674 -0.6964 1.4449
1.5160 -1.1781 0.7619
```

Computed properties:
The value obtained for the distance to the lowest polymorph of the same formula is 0.000 eV per atom.



The following is a PBE calculation of an optimized crystal structure of VHgHPd2, from the Alexandria database.

POSCAR file:
```
VHgHPd2
1.0
-1.0242 4.0161 -2.0478
-3.0266 -2.1689 -2.7398
-3.9043 0.8574 3.6342
H Hg Pd V
1 1 2 1
Cartesian
-3.9776 1.3523 -0.5767
-1.9522 0.4287 1.8171
-1.5133 -1.0845 -1.3699
-0.5121 2.0080 -1.0239
0.0000 0.0000 0.0000
```

Computed properties:
The value obtained for the distance to the lowest polymorph of the same formula is 1.229 eV per atom.